First-principles (GGA+U) data for crystalline AcAlMoO6 at its relaxed geometry, as listed in Alexandria.

Calculated volume ... 13.7 Å³/atom
Total DFT energy (no corrections) ... -7.538 eV per atom
Magnetization ... 0.00 μB per cell

Unit cell a=5.148 b=5.148 c=5.364 alpha=90.00 beta=90.00 gamma=60.00
Atoms (fractional coordinates):
1 Al 0.667 0.667 0.500
2 O 0.997 0.617 0.703
3 O 0.617 0.386 0.703
4 O 0.997 0.386 0.297
5 O 0.386 0.997 0.703
6 O 0.386 0.617 0.297
7 O 0.617 0.997 0.297
8 Ac 0.000 0.000 0.000
9 Mo 0.333 0.333 0.500